Below is crystalline SmDySc3 at its relaxed geometry, with properties calculated at the PBE-GGA level.

Geometry as POSCAR:
```
SmDySc3
1.0
5.3840 0.0003 -0.0013
0.0001 5.7230 1.6283
0.0019 0.4096 9.1136
Sm Dy Sc
2 2 6
Direct
0.1834 0.2896 0.8061 Sm
0.6834 0.5708 0.6003 Sm
0.1834 0.6912 0.0068 Dy
0.6834 0.1692 0.3996 Dy
0.6834 0.9539 0.8094 Sc
0.1834 0.9064 0.5970 Sc
0.6834 0.7695 0.2005 Sc
0.6834 0.3504 0.0129 Sc
0.1834 0.0909 0.2059 Sc
0.1834 0.5100 0.3935 Sc
```

Total DFT energy (no corrections) = -5.629 eV per atom
Energy above the lowest structure with this stoichiometry = 0 kJ/mol of formula units
ΔE_f = 0.034 eV per atom

---

Below is crystalline CuI2Br4 at its relaxed geometry, with properties calculated at the PBE-GGA level.

Geometry as POSCAR:
```
CuI2Br4
1.0
-6.4191 -0.7809 -1.7139
4.6618 -4.5188 -2.8724
2.3339 -6.8722 3.9108
I Br Cu
2 4 1
Direct
0.8964 0.2853 0.3600 I
0.6481 0.6437 0.7198 I
0.2377 0.9483 0.0646 Br
0.6544 0.4812 0.4729 Br
0.5832 0.7709 0.9408 Br
0.0674 0.1399 0.2128 Br
0.9128 0.7307 0.2292 Cu
```

Formation energy (no corrections) = -0.10 eV per atom
Total DFT energy (no corrections) = -2.081 eV per atom

---

Below is crystalline NaSmTlSn at its relaxed geometry, with properties calculated at the PBE-GGA level.

Geometry as POSCAR:
```
NaSmTlSn
1.0
-5.2304 0.5592 -1.1653
-2.3416 -3.3205 -3.5382
-3.5473 -3.6814 1.7005
Na Tl Sn Sm
1 1 1 1
Direct
0.2500 0.2500 0.2500 Na
0.5000 0.5000 0.5000 Tl
0.0000 0.0000 0.0000 Sn
0.7500 0.7500 0.7500 Sm
```

Total DFT energy (no corrections) = -3.423 eV per atom
Energy above the lowest structure with this stoichiometry = 21 kJ/mol of formula units
ΔE_f = -0.322 eV per atom

---

Below is crystalline ScCd3Bi at its relaxed geometry, with properties calculated at the PBE-GGA level.

Geometry as POSCAR:
```
ScCd3Bi
1.0
5.6387 0.0000 0.0000
0.0000 5.6387 0.0000
0.0000 0.0000 5.6387
Sc Bi Cd
1 1 3
Direct
0.5000 0.5000 0.5000 Sc
0.0000 0.0000 0.0000 Bi
0.0000 0.5000 0.0000 Cd
0.0000 0.0000 0.5000 Cd
0.5000 0.0000 0.0000 Cd
```

Total DFT energy (no corrections) = -1.878 eV per atom
Energy above the lowest structure with this stoichiometry = 49 kJ/mol of formula units
ΔE_f = 0.714 eV per atom

---

Below is crystalline Sr2MgSnHg6 at its relaxed geometry, with properties calculated at the PBE-GGA level.

Geometry as POSCAR:
```
Sr2MgSnHg6
1.0
-7.5077 1.3829 -0.4555
0.7382 -7.3066 -1.3883
-1.6493 -6.1903 3.8804
Sr Mg Sn Hg
2 1 1 6
Direct
0.2343 0.7268 0.4933 Sr
0.7657 0.2732 0.5067 Sr
0.5000 0.5000 0.0000 Mg
0.0000 0.0000 0.0000 Sn
0.1934 0.6777 0.9841 Hg
0.5718 0.7518 0.1755 Hg
0.1980 0.1783 0.4857 Hg
0.8066 0.3223 0.0159 Hg
0.4282 0.2482 0.8245 Hg
0.8020 0.8217 0.5143 Hg
```

Total DFT energy (no corrections) = -1.358 eV per atom
ΔE_f = -0.281 eV per atom

---

Below is crystalline Pm2P3PdPt12 at its relaxed geometry, with properties calculated at the PBE-GGA level.

Geometry as POSCAR:
```
Pm2P3PdPt12
1.0
7.6407 -0.3297 -0.2339
3.4867 6.8067 -0.2339
3.4867 2.0295 6.5013
Pm P Pd Pt
2 3 1 12
Direct
0.6106 0.6106 0.6106 Pm
0.3894 0.3894 0.3894 Pm
0.5000 0.0000 0.0000 P
0.0000 0.5000 0.0000 P
0.0000 0.0000 0.5000 P
0.0000 0.0000 0.0000 Pd
0.3451 0.3451 0.8954 Pt
0.8700 0.8700 0.3812 Pt
0.3812 0.8700 0.8700 Pt
0.8954 0.3451 0.3451 Pt
0.8700 0.3812 0.8700 Pt
0.3451 0.8954 0.3451 Pt
0.6549 0.6549 0.1046 Pt
0.1300 0.1300 0.6188 Pt
0.6188 0.1300 0.1300 Pt
0.1046 0.6549 0.6549 Pt
0.1300 0.6188 0.1300 Pt
0.6549 0.1046 0.6549 Pt
```

Total DFT energy (no corrections) = -6.102 eV per atom
ΔE_f = -0.356 eV per atom

---

Below is crystalline Mg2ReP2 at its relaxed geometry, with properties calculated at the PBE-GGA level.

Geometry as POSCAR:
```
Mg2ReP2
1.0
4.3907 -2.6295 2.9920
0.2614 -5.8422 0.9722
-0.8974 3.9021 -4.3719
Mg Re P
2 1 2
Direct
0.2500 0.7500 0.5000 Mg
0.7500 0.2500 0.5000 Mg
0.0000 0.0000 0.0000 Re
0.5994 0.5994 0.0000 P
0.4006 0.4006 0.0000 P
```

Total DFT energy (no corrections) = -4.648 eV per atom
Energy above the lowest structure with this stoichiometry = 484 kJ/mol of formula units
ΔE_f = 0.643 eV per atom

---

Below is crystalline MgTcP2Cl at its relaxed geometry, with properties calculated at the PBE-GGA level.

Geometry as POSCAR:
```
MgTcP2Cl
1.0
4.5413 0.0000 0.0000
0.0000 4.5413 0.0000
0.0000 0.0000 5.2297
P Mg Tc Cl
2 1 1 1
Direct
0.0000 0.5000 0.0000 P
0.5000 0.0000 0.0000 P
0.5000 0.5000 0.5000 Mg
0.0000 0.0000 0.0000 Tc
0.0000 0.0000 0.5000 Cl
```

Formation energy (no corrections) = 0.11 eV per atom
Total DFT energy (no corrections) = -4.819 eV per atom
Energy above the lowest structure with this stoichiometry = 0 kJ/mol of formula units

---

Below is crystalline Pr3Hg2Au2 at its relaxed geometry, with properties calculated at the PBE-GGA level.

Geometry as POSCAR:
```
Pr3Hg2Au2
1.0
-3.9446 -2.6996 2.0360
4.6332 -2.2726 -0.7205
3.5622 4.9768 7.2018
Pr Hg Au
3 2 2
Direct
0.0000 0.0000 0.0000 Pr
0.4515 0.2264 0.6674 Pr
0.5485 0.7736 0.3326 Pr
0.7694 0.3842 0.1549 Hg
0.2306 0.6158 0.8451 Hg
0.2151 0.1064 0.3312 Au
0.7849 0.8936 0.6688 Au
```

Total DFT energy (no corrections) = -3.583 eV per atom
ΔE_f = -0.512 eV per atom

---

Below is crystalline InReHg2 at its relaxed geometry, with properties calculated at the PBE-GGA level.

Geometry as POSCAR:
```
InReHg2
1.0
-1.3350 1.6028 -3.5496
-2.5541 -3.1931 -0.4813
-9.2733 4.3046 3.0438
Re Hg In
2 4 2
Direct
0.0000 0.0000 0.0000 Re
0.7500 0.2500 0.5000 Re
0.6438 0.1250 0.2500 Hg
0.1062 0.6250 0.2500 Hg
0.3750 0.3562 0.7500 Hg
0.8750 0.8938 0.7500 Hg
0.5000 0.5000 0.0000 In
0.2500 0.7500 0.5000 In
```

Total DFT energy (no corrections) = -3.055 eV per atom
ΔE_f = 0.892 eV per atom

---

Below is crystalline TaPtPbO6 at its relaxed geometry, with properties calculated at the PBE-GGA level.

Geometry as POSCAR:
```
TaPtPbO6
1.0
4.8962 0.0000 0.0000
0.0000 4.8962 0.0000
0.0000 0.0000 9.8782
Ta Pt Pb O
2 2 2 12
Direct
0.5000 0.5000 0.1729 Ta
0.0000 0.0000 0.6729 Ta
0.5000 0.5000 0.8321 Pt
0.0000 0.0000 0.3321 Pt
0.5000 0.5000 0.5022 Pb
0.0000 0.0000 0.0022 Pb
0.1693 0.8307 0.5031 O
0.8307 0.1693 0.5031 O
0.3307 0.3307 0.0031 O
0.6693 0.6693 0.0031 O
0.2061 0.7939 0.1836 O
0.7939 0.2061 0.1836 O
0.2939 0.2939 0.6836 O
0.7061 0.7061 0.6836 O
0.7919 0.2081 0.8097 O
0.2081 0.7919 0.8097 O
0.7081 0.7081 0.3097 O
0.2919 0.2919 0.3097 O
```

Formation energy (no corrections) = -1.43 eV per atom
Total DFT energy (no corrections) = -7.133 eV per atom

---

Below is crystalline CaCrPN2 at its relaxed geometry, with properties calculated at the PBE-GGA level.

Geometry as POSCAR:
```
CaCrPN2
1.0
3.7360 0.0000 0.0000
0.0000 5.0900 0.0000
0.0000 0.0000 3.7360
Cr Ca N P
1 1 2 1
Direct
0.5000 0.5000 0.5000 Cr
0.0000 0.5000 0.0000 Ca
0.0000 0.0000 0.5000 N
0.5000 0.0000 0.0000 N
0.0000 0.0000 0.0000 P
```

Formation energy (no corrections) = 1.88 eV per atom
Total DFT energy (no corrections) = -4.861 eV per atom

---

Below is crystalline Pm9Mg2Tl at its relaxed geometry, with properties calculated at the PBE-GGA level.

Geometry as POSCAR:
```
Pm9Mg2Tl
1.0
4.9926 0.0000 0.0000
0.0000 4.9926 0.0000
0.0000 0.0000 14.9946
Pm Mg Tl
9 2 1
Direct
0.5000 0.5000 0.0000 Pm
0.5000 0.5000 0.3341 Pm
0.5000 0.5000 0.6659 Pm
0.5000 0.0000 0.1654 Pm
0.5000 0.0000 0.5000 Pm
0.5000 0.0000 0.8346 Pm
0.0000 0.5000 0.1654 Pm
0.0000 0.5000 0.5000 Pm
0.0000 0.5000 0.8346 Pm
0.0000 0.0000 0.3327 Mg
0.0000 0.0000 0.6673 Mg
0.0000 0.0000 0.0000 Tl
```

Total DFT energy (no corrections) = -4.088 eV per atom
ΔE_f = -0.062 eV per atom

---

Below is crystalline La6Ge5Br at its relaxed geometry, with properties calculated at the PBE-GGA level.

Geometry as POSCAR:
```
La6Ge5Br
1.0
-7.4772 -0.7404 -1.2584
2.6838 -2.1056 -6.8683
0.7633 -4.6569 6.0449
Ge Br La
5 1 6
Direct
0.5000 0.8393 0.1607 Ge
0.0000 0.6670 0.3330 Ge
0.5000 0.5000 0.5000 Ge
0.0000 0.3330 0.6670 Ge
0.5000 0.1607 0.8393 Ge
0.0000 0.0000 0.0000 Br
0.7426 0.9138 0.5760 La
0.2574 0.4240 0.0862 La
0.2512 0.7464 0.7464 La
0.7488 0.2536 0.2536 La
0.7426 0.5760 0.9138 La
0.2574 0.0862 0.4240 La
```

Formation energy (no corrections) = -0.89 eV per atom
Total DFT energy (no corrections) = -5.421 eV per atom

---

Below is crystalline LiPuAg at its relaxed geometry, with properties calculated at the PBE-GGA level.

Geometry as POSCAR:
```
LiPuAg
1.0
-1.6683 0.2973 -2.4330
0.9033 -2.6904 0.8585
-6.4755 -0.7879 4.3439
Li Ag Pu
1 1 1
Direct
0.3333 0.6667 0.6940 Li
0.0000 0.0000 0.9765 Ag
0.6667 0.3333 0.3295 Pu
```

Total DFT energy (no corrections) = -6.229 eV per atom
Energy above the lowest structure with this stoichiometry = 19 kJ/mol of formula units
ΔE_f = 0.137 eV per atom

---

Below is crystalline LaSbOs2 at its relaxed geometry, with properties calculated at the PBE-GGA level.

Geometry as POSCAR:
```
LaSbOs2
1.0
4.8596 0.0000 0.0000
2.4298 4.2085 0.0000
2.4298 1.4028 3.9678
La Os Sb
1 2 1
Direct
0.5000 0.5000 0.5000 La
0.0000 0.0000 0.0000 Os
0.7500 0.7500 0.7500 Os
0.2500 0.2500 0.2500 Sb
```

Formation energy (no corrections) = 0.71 eV per atom
Total DFT energy (no corrections) = -7.165 eV per atom

---

Below is crystalline Li2BiSb at its relaxed geometry, with properties calculated at the PBE-GGA level.

Geometry as POSCAR:
```
Li2BiSb
1.0
-1.5784 -3.0096 0.4671
0.7636 -1.9317 2.7299
-7.3532 2.8705 6.2433
Sb Bi Li
1 1 2
Direct
0.5000 0.5000 0.5000 Sb
0.0000 0.0000 0.0000 Bi
0.0943 0.0943 0.7171 Li
0.9057 0.9057 0.2829 Li
```

Formation energy (no corrections) = -0.25 eV per atom
Total DFT energy (no corrections) = -3.210 eV per atom
Energy above the lowest structure with this stoichiometry = 51 kJ/mol of formula units